{"formula": "Ta2NbAl2", "functional": "GGA-PBE", "state": "optimized geometry", "n_ef_per_ev_cell": 3.7, "e_form_ev_per_atom": -0.225, "lattice": [[-3.071, 5.964, 1.966], [-4.386, -3.603, 4.080], [2.251, 0.280, 2.668]], "species": ["Al", "Al", "Al", "Al", "Ta", "Ta", "Ta", "Ta", "Nb", "Nb"], "fractional_positions": [[0.126, 0.374, 0.000], [0.374, 0.874, 0.000], [0.626, 0.126, 0.000], [0.874, 0.626, 0.000], [0.674, 0.826, 0.500], [0.326, 0.174, 0.500], [0.174, 0.674, 0.500], [0.826, 0.326, 0.500], [0.500, 0.500, 0.000], [0.000, 0.000, 0.000]]}